No. 1
A geometry-optimized RbAlSbH2 structure, computed with PBE.

Unit cell a=7.0354 b=7.0354 c=6.3229 alpha=90.00 beta=90.00 gamma=139.92
Closest atoms and distances in Å follow each position.
Fractional coordinates of all 10 atoms:
Rb: 0.2210 0.7790 0.7500  6 H 2.80-3.02
Rb: 0.7790 0.2210 0.2500  6 H 2.80-3.02
Al: 0.5000 0.5000 0.0000  2 H 1.65
Al: 0.5000 0.5000 0.5000  2 H 1.65
Sb: 0.0496 0.9504 0.2500  4 Al 2.96, 4 H 3.21
Sb: 0.9504 0.0496 0.7500  4 Al 2.96, 4 H 3.21
H: 0.3775 0.6225 0.0473  1 Al 1.65
H: 0.3775 0.6225 0.4527  1 Al 1.65
H: 0.6225 0.3775 0.5473  1 Al 1.65
H: 0.6225 0.3775 0.9527  1 Al 1.65

Calculated values
The calculation puts the total energy at -31.989 eV for the cell shown. As for the magnetic moment: 0.00 μB per formula unit.



No. 2
A geometry-optimized RbMgScSe3 structure, computed with PBE.

Unit cell a=9.1080 b=4.1216 c=10.1910 alpha=90.00 beta=110.98 gamma=90.00
Closest atoms and distances in Å follow each position.
Fractional coordinates of all 12 atoms:
Rb: 0.2208 0.2500 0.2406  7 Se 3.48-3.78
Rb: 0.7792 0.7500 0.7594  7 Se 3.48-3.78
Mg: 0.0884 0.2500 0.6150  4 Se 2.52-2.66
Mg: 0.9116 0.7500 0.3850  4 Se 2.52-2.66
Sc: 0.3346 0.7500 0.8748  5 Se 2.63-2.78
Sc: 0.6654 0.2500 0.1252  5 Se 2.63-2.78
Se: 0.1283 0.2500 0.8723  1 Mg 2.52, 2 Sc 2.78
Se: 0.2137 0.7500 0.5492  3 Mg 2.56-2.66
Se: 0.4770 0.7500 0.1499  3 Sc 2.63-2.75
Se: 0.5230 0.2500 0.8501  3 Sc 2.63-2.75
Se: 0.7863 0.2500 0.4508  3 Mg 2.56-2.66
Se: 0.8717 0.7500 0.1277  1 Mg 2.52, 2 Sc 2.78

Calculated values
The formation energy without anion corrections comes out at -1464 meV/atom. As for the magnetic moment: 0.00 μB per formula unit.



No. 3
A geometry-optimized K5Rb2Na4 structure, computed with PBE.

Unit cell a=11.8808 b=11.8808 c=9.1402 alpha=98.67 beta=98.67 gamma=31.89
Closest atoms and distances in Å follow each position.
Fractional coordinates of all 11 atoms:
K: 0.0000 0.0000 0.0000  6 Na 4.25-4.29, 2 Rb 4.52, 4 K 4.62
K: 0.2804 0.2804 0.3242  4 Na 4.10-4.32, 2 Rb 4.55
K: 0.3591 0.3591 0.8592  5 Na 4.02-4.38
K: 0.6409 0.6409 0.1408  5 Na 4.02-4.38
K: 0.7196 0.7196 0.6758  4 Na 4.10-4.32, 2 Rb 4.55
Rb: 0.0940 0.0940 0.4731  5 Na 4.18-4.55, 1 Rb 4.40, 4 K 4.52-4.67
Rb: 0.9060 0.9060 0.5269  5 Na 4.18-4.55, 1 Rb 4.40, 4 K 4.52-4.67
Na: 0.1777 0.1777 0.9142  7 K 4.02-4.25, 1 Rb 4.18
Na: 0.4660 0.4660 0.2802  1 Na 4.07, 5 K 4.22-4.38, 4 Rb 4.31-4.55
Na: 0.5340 0.5340 0.7198  1 Na 4.07, 5 K 4.22-4.38, 4 Rb 4.31-4.55
Na: 0.8223 0.8223 0.0858  7 K 4.02-4.25, 1 Rb 4.18

Calculated values
The calculation puts the energy relative to the elements at 3 kJ/mol of atoms. As for the magnetic moment: 0.00 μB per formula unit.



No. 4
A geometry-optimized CuReNi2 structure, computed with PBE.

Unit cell a=2.6555 b=2.6555 c=24.5074 alpha=90.00 beta=90.00 gamma=120.00
Closest atoms and distances in Å follow each position.
Fractional coordinates of all 12 atoms:
Cu: 0.0000 0.0000 0.0000  6 Ni 2.54, 6 Cu 2.66
Cu: 0.3333 0.6667 0.6667  6 Ni 2.54, 6 Cu 2.66
Cu: 0.6667 0.3333 0.3333  6 Ni 2.54, 6 Cu 2.66
Re: 0.0000 0.0000 0.8336  6 Ni 2.57, 6 Re 2.66
Re: 0.3333 0.6667 0.5003  6 Ni 2.57, 6 Re 2.66
Re: 0.6667 0.3333 0.1670  6 Ni 2.57, 6 Re 2.66
Ni: 0.0000 0.0000 0.4160  3 Cu 2.54, 3 Re 2.57, 6 Ni 2.66
Ni: 0.0000 0.0000 0.5842  3 Cu 2.54, 3 Re 2.57, 6 Ni 2.66
Ni: 0.3333 0.6667 0.0827  3 Cu 2.54, 3 Re 2.57, 6 Ni 2.66
Ni: 0.3333 0.6667 0.2509  3 Cu 2.54, 3 Re 2.57, 6 Ni 2.66
Ni: 0.6667 0.3333 0.7493  3 Cu 2.54, 3 Re 2.57, 6 Ni 2.66
Ni: 0.6667 0.3333 0.9175  3 Cu 2.54, 3 Re 2.57, 6 Ni 2.66

Calculated values
The calculation puts the energy relative to the elements at 6 kJ/mol of atoms. As for the magnetic moment: 0.00 μB per formula unit.



No. 5
A geometry-optimized Er4AlBi2 structure, computed with PBE.

Unit cell a=7.7440 b=12.0399 c=4.6600 alpha=90.00 beta=90.00 gamma=90.00
Closest atoms and distances in Å follow each position.
Fractional coordinates of all 14 atoms:
Er: 0.1520 0.2182 0.0000  1 Al 2.88, 4 Bi 3.18-3.20
Er: 0.2116 0.9427 0.5000  2 Al 2.93, 2 Bi 3.17-3.24
Er: 0.2884 0.4427 0.5000  2 Al 2.93, 2 Bi 3.17-3.24
Er: 0.3480 0.7182 0.0000  1 Al 2.88, 4 Bi 3.18-3.20
Er: 0.6520 0.2818 0.0000  1 Al 2.88, 4 Bi 3.18-3.20
Er: 0.7116 0.5573 0.5000  2 Al 2.93, 2 Bi 3.17-3.24
Er: 0.7884 0.0573 0.5000  2 Al 2.93, 2 Bi 3.17-3.24
Er: 0.8480 0.7818 0.0000  1 Al 2.88, 4 Bi 3.18-3.20
Al: 0.0000 0.0000 0.0000  6 Er 2.88-2.93
Al: 0.5000 0.5000 0.0000  6 Er 2.88-2.93
Bi: 0.0776 0.6751 0.5000  7 Er 3.17-3.38
Bi: 0.4224 0.1751 0.5000  7 Er 3.17-3.38
Bi: 0.5776 0.8249 0.5000  7 Er 3.17-3.38
Bi: 0.9224 0.3249 0.5000  7 Er 3.17-3.38

Calculated values
The calculation puts the energy relative to the elements at -43 kJ/mol of atoms. As for the magnetic moment: 0.00 μB per formula unit.



No. 6
A geometry-optimized Cs2GaBi structure, computed with PBE.

Unit cell a=4.6440 b=11.0841 c=7.6114 alpha=90.00 beta=90.00 gamma=90.00
Closest atoms and distances in Å follow each position.
Fractional coordinates of all 8 atoms:
Cs: 0.0000 0.1849 0.0000  3 Ga 3.81-3.84, 1 Cs 4.10, 3 Bi 4.20-4.21
Cs: 0.0000 0.8151 0.0000  3 Ga 3.81-3.84, 1 Cs 4.10, 3 Bi 4.20-4.21
Cs: 0.5000 0.3151 0.5000  3 Ga 3.81-3.84, 1 Cs 4.10, 3 Bi 4.20-4.21
Cs: 0.5000 0.6849 0.5000  3 Ga 3.81-3.84, 1 Cs 4.10, 3 Bi 4.20-4.21
Ga: 0.0000 0.5000 0.7917  2 Bi 2.88
Ga: 0.5000 0.0000 0.2917  2 Bi 2.88
Bi: 0.0000 0.0000 0.5165  2 Ga 2.88
Bi: 0.5000 0.5000 0.0165  2 Ga 2.88

Calculated values
The calculation puts the energy relative to the elements at -23 kJ/mol of atoms. As for the magnetic moment: 0.00 μB per formula unit.



No. 7
A geometry-optimized CsNaCd2Rh structure, computed with PBE.

Unit cell a=5.3546 b=5.3546 c=5.5965 alpha=90.00 beta=90.00 gamma=90.00
Closest atoms and distances in Å follow each position.
Fractional coordinates of all 5 atoms:
Cs: 0.0000 0.0000 0.0000  4 Na 3.79, 8 Cd 3.87
Na: 0.5000 0.5000 0.0000  2 Rh 2.80
Cd: 0.0000 0.5000 0.5000  2 Rh 2.68
Cd: 0.5000 0.0000 0.5000  2 Rh 2.68
Rh: 0.5000 0.5000 0.5000  4 Cd 2.68, 2 Na 2.80

Calculated values
The calculation puts the energy relative to the elements at 2 kJ/mol of atoms. As for the magnetic moment: 0.00 μB per formula unit.



No. 8
A geometry-optimized Si2HgI structure, computed with PBE.

Unit cell a=5.2844 b=6.5068 c=8.0810 alpha=66.78 beta=74.28 gamma=84.20
Closest atoms and distances in Å follow each position.
Fractional coordinates of all 8 atoms:
Si: 0.0000 0.0000 0.0000  2 Si 2.37-2.39, 2 Hg 2.53-2.57
Si: 0.1744 0.9434 0.5766  2 Si 2.40-2.46, 1 Hg 2.57, 1 I 2.62
Si: 0.4072 0.0041 0.7792  3 Si 2.39-2.46, 1 I 2.57
Si: 0.8093 0.8360 0.8463  3 Si 2.37-2.40, 1 Hg 2.58
Hg: 0.0979 0.8416 0.3167  2 Si 2.53-2.57
Hg: 0.8729 0.4101 0.9416  2 Si 2.57-2.58
I: 0.2048 0.3456 0.3152  1 Si 2.62
I: 0.5319 0.4206 0.6492  1 Si 2.57

Calculated values
The formation energy without anion corrections comes out at 112 meV/atom. As for the magnetic moment: 0.00 μB per formula unit.



In order of appearance, D(E_F) = 0.76, 0.00, 7.14, 3.23, 4.79, 0.74, 1.95, 0.01 states/eV/f.u..